1.
Density functional theory data (PBE) for a relaxed structure of Sc2Si5Ni3.

## Properties
D(E_F), states/eV/f.u.: 2.09
Calculated total energy, eV per atom: -6.37
Magnetization, μB/atom: 0.000

Cell: 3.915 22.557 6.312 Å, 90.00 90.00 90.00°
Space group Cmc2_1 (No. 36)
One atom of each set of equivalent atoms:
Sc  0.000  0.022  0.000 (multiplicity 4)
Sc  0.000  0.326  0.996 (multiplicity 4)
Si  0.000  0.097  0.365 (multiplicity 4)
Si  0.000  0.205  0.812 (multiplicity 4)
Si  0.000  0.213  0.224 (multiplicity 4)
Si  0.000  0.382  0.481 (multiplicity 4)
Si  0.000  0.450  0.164 (multiplicity 4)
Ni  0.000  0.107  0.736 (multiplicity 4)
Ni  0.000  0.277  0.526 (multiplicity 4)
Ni  0.000  0.447  0.780 (multiplicity 4)

=====

2.
Density functional theory data (PBE) for a relaxed structure of Sc2Si4Ni5.

## Properties
D(E_F), states/eV/f.u.: 8.50
Calculated total energy, eV per atom: -6.40
Magnetization, μB/atom: 0.000

Cell: 5.096 8.809 13.696 Å, 90.00 90.00 90.00°
Space group Fmmm (No. 69)
One atom of each set of equivalent atoms:
Sc  0.000  0.000  0.139 (multiplicity 8)
Si  0.000  0.150  0.368 (multiplicity 16)
Ni  0.000  0.000  0.500 (multiplicity 4)
Ni  0.250  0.250  0.000 (multiplicity 8)
Ni  0.250  0.250  0.250 (multiplicity 8)

=====

3.
Density functional theory data (PBE) for a relaxed structure of Sc2Si3Ni.

## Properties
D(E_F), states/eV/f.u.: 5.17
Calculated total energy, eV per atom: -5.85
Distance to the lowest polymorph of the same formula, kJ/mol of atoms: 65.0
Magnetization, μB/atom: 0.000

Cell: 5.248 5.256 31.577 Å, 90.00 90.00 90.00°
Space group Fmmm (No. 69)
One atom of each set of equivalent atoms:
Sc  0.000  0.000  0.100 (multiplicity 8)
Sc  0.250  0.250  0.250 (multiplicity 8)
Si  0.000  0.000  0.184 (multiplicity 8)
Si  0.250  0.250  0.037 (multiplicity 16)
Ni  0.000  0.000  0.318 (multiplicity 8)

=====

4.
Density functional theory data (PBE) for a relaxed structure of Sc2Si6Ni9.

## Properties
D(E_F), states/eV/f.u.: 11.41
Calculated total energy, eV per atom: -6.26
Magnetization, μB/atom: 0.000

Cell: 4.9889 4.9889 10.9119 Å, 90.00 90.00 120.00°
Space group P6/mmm (No. 191)
One atom of each set of equivalent atoms:
Sc  0.0000  0.0000  0.1800 (multiplicity 2)
Si  0.3333  0.6667  0.1655 (multiplicity 4)
Si  0.3333  0.6667  0.5000 (multiplicity 2)
Ni  0.0000  0.5000  0.0000 (multiplicity 3)
Ni  0.0000  0.5000  0.3314 (multiplicity 6)